An optimized crystal structure of Rb2CaVS4, computed with PBE-GGA.

Summary:
DFT total energy   -4.930 eV per atom
SG   Pmn2_1 (31)

Lattice parameters (Å, degrees): 7.5173 8.0818 8.5481 90.00 90.00 90.00
Last column: nearest neighbours and their distance in Å.
Positions (direct):
Rb (0.5046, 0.2422, 0.2493)  5 S 3.34-3.51
Rb (0.5046, 0.2422, 0.7507)  5 S 3.34-3.51
Rb (0.0046, 0.7578, 0.7493)  5 S 3.34-3.51
Rb (0.0046, 0.7578, 0.2507)  5 S 3.34-3.51
Ca (0.9995, 0.1915, 0.5000)  4 S 2.65-2.74
Ca (0.4995, 0.8085, 0.0000)  4 S 2.65-2.74
V (0.4990, 0.8079, 0.5000)  4 S 2.22
V (0.9990, 0.1921, 0.0000)  4 S 2.22
S (0.2351, 0.0273, 0.0000)  1 V 2.22
S (0.7351, 0.9727, 0.5000)  1 V 2.22
S (0.2696, 0.9806, 0.5000)  1 V 2.22
S (0.7696, 0.0194, 0.0000)  1 V 2.22
S (0.4937, 0.6536, 0.7153)  1 V 2.22
S (0.9937, 0.3464, 0.2153)  1 V 2.22
S (0.9937, 0.3464, 0.7847)  1 V 2.22
S (0.4937, 0.6536, 0.2847)  1 V 2.22

An optimized crystal structure of Sc5Bi4H3, computed with PBE-GGA.

Summary:
DFT total energy   -5.206 eV per atom
SG   C2/m (12)

Lattice parameters (Å, degrees): 3.9389 7.3786 9.0864 84.73 77.48 74.52
Last column: nearest neighbours and their distance in Å.
Positions (direct):
Sc (0.5504, 0.1240, 0.7751)  1 H 2.12
Sc (0.5000, 0.5000, 0.5000)  4 H 1.97-2.05
Sc (0.1745, 0.4292, 0.2217)  3 H 2.31-2.54
Sc (0.8255, 0.5708, 0.7783)  3 H 2.31-2.54
Sc (0.4496, 0.8760, 0.2249)  1 H 2.12
Bi (0.8732, 0.2430, 0.0105)  5 Sc 3.01-3.05
Bi (0.2566, 0.8715, 0.6154)  3 Sc 2.87-3.05
Bi (0.7434, 0.1285, 0.3846)  3 Sc 2.87-3.05
Bi (0.1268, 0.7570, 0.9895)  5 Sc 3.01-3.05
H (0.5707, 0.5826, 0.2759)  2 Sc 2.05-2.12
H (0.0000, 0.5000, 0.5000)  2 Sc 1.97
H (0.4293, 0.4174, 0.7241)  2 Sc 2.05-2.12

An optimized crystal structure of Np2CdF11, computed with PBE-GGA.

Summary:
DFT total energy   -6.489 eV per atom
SG   Ibam (72)

Lattice parameters (Å, degrees): 8.5007 8.6093 8.6093 73.21 60.42 60.42
Last column: nearest neighbours and their distance in Å.
Positions (direct):
Np (0.6528, 0.6818, 0.3182)  6 F 2.12-2.27
Np (0.3472, 0.3182, 0.6818)  6 F 2.12-2.27
Np (0.8472, 0.1818, 0.8182)  6 F 2.12-2.27
Np (0.1528, 0.8182, 0.1818)  6 F 2.12-2.27
Cd (0.7500, 0.7500, 0.7500)  8 F 2.36-2.42
Cd (0.2500, 0.2500, 0.2500)  8 F 2.36-2.42
F (0.6366, 0.7066, 0.5638)  1 Np 2.12
F (0.3634, 0.2934, 0.4362)  1 Np 2.12
F (0.0929, 0.5638, 0.7066)  1 Np 2.12
F (0.8634, 0.9362, 0.7934)  1 Np 2.12
F (0.9071, 0.4362, 0.2934)  1 Np 2.12
F (0.1366, 0.0638, 0.2066)  1 Np 2.12
F (0.4071, 0.7934, 0.9362)  1 Np 2.12
F (0.5929, 0.2066, 0.0638)  1 Np 2.12
F (0.5000, 0.5000, 0.5000)  2 Np 2.27, 2 F 2.45
F (0.0000, 0.0000, 0.0000)  2 Np 2.27, 2 F 2.45
F (0.8674, 0.7881, 0.2119)  1 Np 2.13
F (0.1326, 0.2119, 0.7881)  1 Np 2.13
F (0.6326, 0.2881, 0.7119)  1 Np 2.13
F (0.3674, 0.7119, 0.2881)  1 Np 2.13
F (0.4506, 0.9568, 0.3220)  1 Np 2.13, 1 Cd 2.36
F (0.5494, 0.0432, 0.6780)  1 Np 2.13, 1 Cd 2.36
F (0.2706, 0.3220, 0.9568)  1 Np 2.13, 1 Cd 2.36
F (0.0494, 0.1780, 0.5432)  1 Np 2.13, 1 Cd 2.36
F (0.7294, 0.6780, 0.0432)  1 Np 2.13, 1 Cd 2.36
F (0.9506, 0.8220, 0.4568)  1 Np 2.13, 1 Cd 2.36
F (0.2294, 0.5432, 0.1780)  1 Np 2.13, 1 Cd 2.36
F (0.7706, 0.4568, 0.8220)  1 Np 2.13, 1 Cd 2.36

An optimized crystal structure of Ce2Er3Co4, computed with PBE-GGA.

Summary:
DFT total energy   -6.126 eV per atom
SG   C2/m (12)
E_form   -12 kJ per mole of atoms

Lattice parameters (Å, degrees): 4.4882 5.4537 8.2583 109.01 105.77 90.00
Last column: nearest neighbours and their distance in Å.
Positions (direct):
Ce (0.3376, 0.8391, 0.6751)  2 Co 2.37
Ce (0.6624, 0.1609, 0.3249)  2 Co 2.37
Er (0.8790, 0.3807, 0.7580)  8 Co 3.05-3.34, 1 Ce 3.24, 2 Er 3.27
Er (0.1210, 0.6193, 0.2420)  8 Co 3.05-3.34, 1 Ce 3.24, 2 Er 3.27
Er (0.0000, 0.0000, 0.0000)  4 Co 2.77
Co (0.5002, 0.2982, 0.0003)  1 Co 2.20
Co (0.7862, 0.7879, 0.5723)  2 Ce 2.37
Co (0.4998, 0.7018, 0.9997)  1 Co 2.20
Co (0.2138, 0.2121, 0.4277)  2 Ce 2.37

An optimized crystal structure of PaAl3Tc, computed with PBE-GGA.

Summary:
DFT total energy   -6.439 eV per atom
SG   P6_3/mmc (194)
Energy above the most stable polymorph in this dataset   0.066 eV per atom
E_form   -21 kJ per mole of atoms

Lattice parameters (Å, degrees): 5.5165 6.2724 6.2729 120.00 90.00 90.00
Last column: nearest neighbours and their distance in Å.
Positions (direct):
Pa (0.7499, 0.6666, 0.3333)  12 Al 3.15
Pa (0.2501, 0.3334, 0.6668)  12 Al 3.15
Al (0.7500, 0.6120, 0.8060)  2 Tc 2.52, 2 Al 2.62
Al (0.2500, 0.8060, 0.6120)  2 Tc 2.52, 2 Al 2.62
Al (0.2500, 0.3880, 0.1941)  2 Tc 2.52, 2 Al 2.62
Al (0.7500, 0.1940, 0.3880)  2 Tc 2.52, 2 Al 2.62
Al (0.2499, 0.8061, 0.1941)  2 Tc 2.52, 2 Al 2.62
Al (0.7501, 0.1940, 0.8059)  2 Tc 2.52, 2 Al 2.62
Tc (0.0000, 0.0000, 0.0000)  6 Al 2.52, 2 Tc 2.76
Tc (0.5000, 0.0000, 0.0000)  6 Al 2.52, 2 Tc 2.76

An optimized crystal structure of CoSbH, computed with PBE-GGA.

Summary:
DFT total energy   -4.755 eV per atom
SG   C2/c (15)
Energy above the most stable polymorph in this dataset   0.122 eV per atom

Lattice parameters (Å, degrees): 4.9811 5.0173 5.0173 56.86 60.67 60.66
Last column: nearest neighbours and their distance in Å.
Positions (direct):
Co (0.4608, 0.2678, 0.9548)  2 H 1.64
Co (0.9607, 0.2678, 0.9548)  2 H 1.64
Sb (0.9607, 0.7678, 0.9548)  4 Co 2.51-2.52
Sb (0.4608, 0.2678, 0.4548)  4 Co 2.51-2.52
H (0.2108, 0.0445, 0.1780)  2 Co 1.64
H (0.7108, 0.4911, 0.7315)  2 Co 1.64

An optimized crystal structure of BaHf3Te, computed with PBE-GGA.

Summary:
DFT total energy   -5.045 eV per atom
SG   Pm-3m (221)
Energy above the most stable polymorph in this dataset   1.275 eV per atom

Lattice parameters (Å, degrees): 5.3301 5.3301 5.3301 90.00 90.00 90.00
Last column: nearest neighbours and their distance in Å.
Positions (direct):
Te (0.5000, 0.5000, 0.5000)  12 Hf 3.77
Hf (0.0000, 0.5000, 0.0000)  2 Ba 2.67
Hf (0.0000, 0.0000, 0.5000)  2 Ba 2.67
Hf (0.5000, 0.0000, 0.0000)  2 Ba 2.67
Ba (0.0000, 0.0000, 0.0000)  6 Hf 2.67

An optimized crystal structure of La7Tb3Ho2, computed with PBE-GGA.

Summary:
DFT total energy   -4.728 eV per atom
SG   P2/m (10)
E_form   6 kJ per mole of atoms

Lattice parameters (Å, degrees): 3.5807 6.5401 18.3688 74.89 90.00 90.00
Last column: nearest neighbours and their distance in Å.
Positions (direct):
La (0.5000, 0.2291, 0.5092)  2 La 3.10-3.47, 1 Ho 3.37
La (0.5000, 0.7709, 0.4908)  2 La 3.10-3.47, 1 Ho 3.37
La (0.0000, 0.5557, 0.1684)  2 Ho 3.58, 7 La 3.58-3.73, 3 Tb 3.63-3.67
La (0.0000, 0.0000, 0.0000)  8 La 3.58-3.73, 4 Tb 3.73
La (0.0000, 0.4443, 0.8316)  2 Ho 3.58, 7 La 3.58-3.73, 3 Tb 3.63-3.67
La (0.5000, 0.9484, 0.8274)  1 Ho 3.52, 8 La 3.58-3.73, 3 Tb 3.64-3.72
La (0.5000, 0.0516, 0.1726)  1 Ho 3.52, 8 La 3.58-3.73, 3 Tb 3.64-3.72
Tb (0.5000, 0.5000, 0.0000)  2 Tb 3.58, 10 La 3.67-3.73
Tb (0.0000, 0.1192, 0.3374)  2 Tb 3.58, 7 La 3.60-3.86, 4 Ho 3.66-3.80
Tb (0.0000, 0.8808, 0.6626)  2 Tb 3.58, 7 La 3.60-3.86, 4 Ho 3.66-3.80
Ho (0.5000, 0.6111, 0.3307)  5 La 3.37-3.58, 2 Ho 3.58, 2 Tb 3.66
Ho (0.5000, 0.3889, 0.6693)  5 La 3.37-3.58, 2 Ho 3.58, 2 Tb 3.66